Entry 1:
A geometry-optimized SrZrB12 structure. Source: Alexandria, functional GGA-PBE.

The value obtained for the total energy is -6.71 eV per atom. Its calculated formation energy is -0.255 eV per atom. The value obtained for the density of states at the Fermi level is 0.124 states/eV/atom.

The space group is P4/mmm (No. 123) and the conventional cell measures 4.1163, 4.1163 and 8.2472 Å, with angles of 90.00, 90.00 and 90.00 degrees. The inequivalent atoms are Sr at (0.0000, 0.0000, 0.0000), Zr at (0.0000, 0.0000, 0.5000), B at (0.1996, 0.5000, 0.2550), B at (0.5000, 0.5000, 0.1029) and B at (0.5000, 0.5000, 0.4029).

=====

Entry 2:
A geometry-optimized U2SeN structure. Source: Alexandria, functional GGA-PBE.

The uncorrected formation energy is -0.802 eV per atom. The value obtained for the total energy is -9.40 eV per atom. As for the relative energy among the computed polymorphs: 0.000 eV/atom. The value obtained for the density of states at the Fermi level is 1.683 states/eV/atom.

The space group is R3m (No. 160, hexagonal axes) and the conventional cell measures 3.6567, 3.6567 and 19.4835 Å, with angles of 90.00, 90.00 and 120.00 degrees. The inequivalent atoms are U at (0.0000, 0.0000, 0.0000), U at (0.0000, 0.0000, 0.1235), Se at (0.0000, 0.0000, 0.5596) and N at (0.0000, 0.0000, 0.7295).

=====

Entry 3:
A geometry-optimized CoRe3Ag structure. Source: Alexandria, functional GGA-PBE.

The value obtained for the total energy is -7.76 eV per atom. As for the relative energy among the computed polymorphs: 0.000 eV/atom. Its calculated formation energy is 1.699 eV per atom. The value obtained for the density of states at the Fermi level is 1.457 states/eV/atom.

The space group is Pm-3m (No. 221) and the conventional cell measures 4.4195, 4.4195 and 4.4195 Å, with angles of 90.00, 90.00 and 90.00 degrees. The inequivalent atoms are Co at (0.0000, 0.0000, 0.0000), Re at (0.0000, 0.0000, 0.5000) and Ag at (0.5000, 0.5000, 0.5000).